This record from Alexandria via LeMat-Bulk describes a geometry-optimized NaCoP2HO7 structure. The functional is PBE with a Hubbard U.

Values from the calculation:
* VASP energy: -313.4 eV/cell
* calculated volume: 11.2 Å³/atom
* D(E_F): 0.00 states/eV per cell
* magnetization: 3.00 μB per formula unit

Unit cell a=7.374 b=8.930 c=9.495 alpha=106.10 beta=109.54 gamma=67.73
Fractional positions:
O (0.617, 0.666, 0.883)
Co (0.763, 0.622, 0.478)
O (0.152, 0.943, 0.820)
O (0.011, 0.544, 0.378)
Co (0.266, 0.123, 0.976)
P (0.550, 0.168, 0.810)
O (0.653, 0.441, 0.330)
P (0.551, 0.591, 0.713)
Na (0.711, 0.059, 0.389)
O (0.283, 0.590, 0.301)
P (0.948, 0.332, 0.688)
H (0.515, 0.672, 0.983)
O (0.217, 0.912, 0.200)
Na (0.207, 0.554, 0.882)
O (0.848, 0.057, 0.174)
O (0.783, 0.089, 0.798)
O (0.893, 0.825, 0.616)
Co (0.741, 0.868, 0.017)
O (0.964, 0.169, 0.576)
P (0.049, 0.666, 0.311)
O (0.509, 0.044, 0.873)
O (0.104, 0.179, 0.378)
O (0.564, 0.690, 0.611)
P (0.448, 0.837, 0.191)
P (0.045, 0.091, 0.208)
O (0.582, 0.811, 0.348)
O (0.065, 0.186, 0.107)
O (0.996, 0.456, 0.629)
O (0.038, 0.830, 0.422)
Na (0.834, 0.430, 0.032)
O (0.072, 0.317, 0.852)
P (0.452, 0.412, 0.290)
O (0.714, 0.408, 0.692)
O (0.350, 0.560, 0.677)
H (0.031, 0.172, 0.457)
Na (0.295, 0.941, 0.604)
O (0.452, 0.675, 0.072)
O (0.415, 0.187, 0.650)
O (0.431, 0.309, 0.384)
O (0.494, 0.956, 0.127)
O (0.397, 0.327, 0.118)
O (0.940, 0.811, 0.887)
P (0.952, 0.911, 0.786)
Co (0.242, 0.376, 0.522)
H (0.970, 0.830, 0.537)
O (0.544, 0.330, 0.922)
O (0.918, 0.682, 0.150)
H (0.477, 0.332, 0.044)